## V5Se8 (GGA-PBE)

Data for a relaxed V5Se8 crystal.

a b c (Å): 11.8718 7.0689 8.4081
angles (deg): 90.00 134.06 90.00
With the nearest neighbours (Å) after each atom.
Space group C2/m (No. 12)
Inequivalent atoms, fractional coordinates:
1 V 0.0000 0.0000 0.0000 (multiplicity 2)  6 Se 2.56
2 V 0.0000 0.2896 0.5000 (multiplicity 4)  6 Se 2.44-2.63
3 V 0.2246 0.5000 0.9519 (multiplicity 4)  6 Se 2.44-2.62
4 Se 0.0164 0.0000 0.3202 (multiplicity 4)  4 V 2.56-2.63
5 Se 0.0613 0.5000 0.3389 (multiplicity 4)  3 V 2.44
6 Se 0.2090 0.2559 0.1712 (multiplicity 8)  4 V 2.47-2.62

Calculated values
Spin magnetization (μB/atom): 0.450
Raw formation energy (eV per atom): -0.72
Crystal system: monoclinic
E_tot (eV/cell): -165.64
V (A^3/atom): 19.50

***

## VSe (GGA-PBE)

Data for a relaxed VSe crystal.

a b c (Å): 3.2115 3.2115 8.1511
angles (deg): 90.00 90.00 120.00
With the nearest neighbours (Å) after each atom.
Space group P6_3mc (No. 186)
Inequivalent atoms, fractional coordinates:
1 V 0.3333 0.6667 0.0000 (multiplicity 2)  4 Se 2.43-2.50
2 Se 0.3333 0.6667 0.3066 (multiplicity 2)  4 V 2.43-2.50

Calculated values
Spin magnetization (μB/atom): 0.535
Raw formation energy (eV per atom): -0.20
Crystal system: hexagonal
E_tot (eV/cell): -25.99
V (A^3/atom): 18.20

***

## VSe (GGA-PBE)

Data for a relaxed VSe crystal.

a b c (Å): 5.8637 6.2905 7.6270
angles (deg): 90.00 90.00 90.00
With the nearest neighbours (Å) after each atom.
Space group P2_12_12_1 (No. 19)
Inequivalent atoms, fractional coordinates:
1 V 0.0234 0.1636 0.2803 (multiplicity 4)  5 Se 2.43-2.63, 1 V 2.57
2 V 0.0491 0.3050 0.9652 (multiplicity 4)  5 Se 2.51-2.63, 1 V 2.57
3 Se 0.1871 0.5619 0.7222 (multiplicity 4)  5 V 2.43-2.63
4 Se 0.2124 0.9417 0.0365 (multiplicity 4)  5 V 2.54-2.63

Calculated values
Spin magnetization (μB/atom): 0.011
Raw formation energy (eV per atom): -0.42
Crystal system: orthorhombic
E_tot (eV/cell): -107.57
V (A^3/atom): 17.58

***

## V2Se5 (GGA-PBE)

Data for a relaxed V2Se5 crystal.

a b c (Å): 13.9862 3.6603 8.8727
angles (deg): 90.00 127.72 90.00
With the nearest neighbours (Å) after each atom.
Space group C2/m (No. 12)
Inequivalent atoms, fractional coordinates:
1 V 0.1400 0.0000 0.4147 (multiplicity 4)  4 Se 2.43-2.47
2 Se 0.0000 0.5000 0.5000 (multiplicity 2)  4 Se 2.68
3 Se 0.0794 0.0000 0.7745 (multiplicity 4)  1 V 2.43, 2 Se 2.68
4 Se 0.1665 0.5000 0.2593 (multiplicity 4)  3 V 2.45-2.47

Calculated values
Spin magnetization (μB/atom): 0.574
Raw formation energy (eV per atom): -0.37
Crystal system: monoclinic
E_tot (eV/cell): -76.45
V (A^3/atom): 25.66

***

## VSe (GGA-PBE)

Data for a relaxed VSe crystal.

a b c (Å): 3.2773 11.5275 5.6430
angles (deg): 90.00 90.00 90.00
With the nearest neighbours (Å) after each atom.
Space group Pmmn (No. 59, origin choice 2)
Inequivalent atoms, fractional coordinates:
1 V 0.2500 0.1235 0.0026 (multiplicity 4)  4 Se 2.44-2.50
2 V 0.2500 0.7500 0.2858 (multiplicity 2)  4 Se 2.43-2.58
3 Se 0.2500 0.2500 0.3618 (multiplicity 2)  4 V 2.50-2.58
4 Se 0.2500 0.5397 0.2768 (multiplicity 4)  4 V 2.43-2.47

Calculated values
Spin magnetization (μB/atom): 0.119
Raw formation energy (eV per atom): -0.47
Crystal system: orthorhombic
E_tot (eV/cell): -81.29
V (A^3/atom): 17.77

***

## VSe (GGA-PBE)

Data for a relaxed VSe crystal.

a b c (Å): 3.7463 3.7463 5.8718
angles (deg): 90.00 90.00 120.00
With the nearest neighbours (Å) after each atom.
Space group P6_3/mmc (No. 194)
Inequivalent atoms, fractional coordinates:
1 V 0.0000 0.0000 0.0000 (multiplicity 2)  6 Se 2.61
2 Se 0.3333 0.6667 0.2500 (multiplicity 2)  6 V 2.61

Calculated values
Spin magnetization (μB/atom): 1.167
Raw formation energy (eV per atom): -0.50
Crystal system: hexagonal
E_tot (eV/cell): -27.19
V (A^3/atom): 17.84

***

## VSe (GGA-PBE)

Data for a relaxed VSe crystal.

a b c (Å): 3.6716 10.8841 3.3148
angles (deg): 90.00 90.00 90.00
With the nearest neighbours (Å) after each atom.
Space group Cmcm (No. 63)
Inequivalent atoms, fractional coordinates:
1 V 0.0000 0.0870 0.2500 (multiplicity 4)  2 V 2.52, 4 Se 2.57
2 Se 0.0000 0.3503 0.2500 (multiplicity 4)  5 V 2.57-2.87

Calculated values
Spin magnetization (μB/atom): 0.000
Raw formation energy (eV per atom): -0.26
Crystal system: orthorhombic
E_tot (eV/cell): -52.47
V (A^3/atom): 16.56

***

## VSe (GGA-PBE)

Data for a relaxed VSe crystal.

a b c (Å): 7.6173 7.6173 7.6173
angles (deg): 90.00 90.00 90.00
With the nearest neighbours (Å) after each atom.
Space group I-43m (No. 217)
Inequivalent atoms, fractional coordinates:
1 V 0.1133 0.1133 0.1133 (multiplicity 8)  3 V 2.44, 4 Se 2.47-2.58
2 Se 0.1915 0.1915 0.8085 (multiplicity 8)  4 V 2.47-2.58

Calculated values
Spin magnetization (μB/atom): 0.000
Raw formation energy (eV per atom): -0.43
Crystal system: cubic
E_tot (eV/cell): -107.69
V (A^3/atom): 27.62

***

## VSe (GGA-PBE)

Data for a relaxed VSe crystal.

a b c (Å): 3.4148 3.8723 6.7574
angles (deg): 90.00 90.09 90.00
With the nearest neighbours (Å) after each atom.
Space group P2_1/m (No. 11)
Inequivalent atoms, fractional coordinates:
1 V 0.2501 0.2500 0.0202 (multiplicity 2)  4 Se 2.48-2.50, 4 V 2.60
2 Se 0.2508 0.7500 0.2505 (multiplicity 2)  4 V 2.48-2.50

Calculated values
Spin magnetization (μB/atom): 0.000
Raw formation energy (eV per atom): -0.58
Crystal system: monoclinic
E_tot (eV/cell): -27.51
V (A^3/atom): 22.34

***

## V5Se (GGA-PBE)

Data for a relaxed V5Se crystal.

a b c (Å): 4.1632 12.3363 3.1758
angles (deg): 90.00 90.00 90.00
With the nearest neighbours (Å) after each atom.
Space group Cmmm (No. 65)
Inequivalent atoms, fractional coordinates:
1 V 0.0000 0.0000 0.0000 (multiplicity 2)  4 V 2.58, 4 Se 2.62
2 V 0.0000 0.1646 0.5000 (multiplicity 4)  8 V 2.58-2.62
3 V 0.0000 0.3293 0.0000 (multiplicity 4)  8 V 2.58-2.86, 2 Se 2.64
4 Se 0.0000 0.5000 0.5000 (multiplicity 2)  12 V 2.62-2.91

Calculated values
Spin magnetization (μB/atom): 0.000
Raw formation energy (eV per atom): -0.12
Crystal system: orthorhombic
E_tot (eV/cell): -99.54
V (A^3/atom): 13.59

***

## VSe (GGA-PBE)

Data for a relaxed VSe crystal.

a b c (Å): 7.9921 8.6130 9.2361
angles (deg): 90.00 90.00 90.00
With the nearest neighbours (Å) after each atom.
Space group Fddd (No. 70, origin choice 2)
Inequivalent atoms, fractional coordinates:
1 V 0.1250 0.1250 0.2551 (multiplicity 16)  1 V 2.40, 4 Se 2.43-2.47
2 Se 0.1044 0.3750 0.8750 (multiplicity 16)  4 V 2.43-2.47

Calculated values
Spin magnetization (μB/atom): 0.000
Raw formation energy (eV per atom): -0.41
Crystal system: orthorhombic
E_tot (eV/cell): -214.73
V (A^3/atom): 19.87

***

## VWSe4 (GGA-PBE)

Data for a relaxed VWSe4 crystal.

a b c (Å): 14.1676 3.3295 5.7737
angles (deg): 90.00 98.64 90.00
With the nearest neighbours (Å) after each atom.
Space group C2/m (No. 12)
Inequivalent atoms, fractional coordinates:
1 V 0.0000 0.0000 0.0000 (multiplicity 2)  6 Se 2.50-2.51
2 W 0.0000 0.5000 0.5000 (multiplicity 2)  6 Se 2.55
3 Se 0.1160 0.5000 0.8825 (multiplicity 4)  2 V 2.50, 1 W 2.55
4 Se 0.1182 0.0000 0.3696 (multiplicity 4)  1 V 2.51, 2 W 2.55

Calculated values
Spin magnetization (μB/atom): 0.000
Raw formation energy (eV per atom): -0.52
Crystal system: monoclinic
E_tot (eV/cell): -78.20
V (A^3/atom): 22.44

***

## VWSe3 (GGA-PBE)

Data for a relaxed VWSe3 crystal.

a b c (Å): 4.9324 4.9324 4.9324
angles (deg): 90.00 90.00 90.00
With the nearest neighbours (Å) after each atom.
Space group Pm-3m (No. 221)
Inequivalent atoms, fractional coordinates:
1 V 0.0000 0.0000 0.0000 (multiplicity 1)  12 Se 3.49
2 W 0.5000 0.5000 0.5000 (multiplicity 1)  6 Se 2.47
3 Se 0.0000 0.5000 0.5000 (multiplicity 3)  2 W 2.47

Calculated values
Spin magnetization (μB/atom): 0.692
Raw formation energy (eV per atom): 0.59
Crystal system: cubic
E_tot (eV/cell): -29.55
Distance to the lowest polymorph of the same formula (eV per formula unit): 4.930
V (A^3/atom): 24.00

***

## V3WSe (GGA-PBE)

Data for a relaxed V3WSe crystal.

a b c (Å): 4.6353 4.6353 4.6353
angles (deg): 90.00 90.00 90.00
With the nearest neighbours (Å) after each atom.
Space group Pm-3m (No. 221)
Inequivalent atoms, fractional coordinates:
1 V 0.0000 0.0000 0.5000 (multiplicity 3)  2 W 2.32
2 W 0.0000 0.0000 0.0000 (multiplicity 1)  6 V 2.32
3 Se 0.5000 0.5000 0.5000 (multiplicity 1)  12 V 3.28

Calculated values
Spin magnetization (μB/atom): 0.000
Raw formation energy (eV per atom): 1.35
Crystal system: cubic
E_tot (eV/cell): -37.03
Distance to the lowest polymorph of the same formula (eV per formula unit): 2.193
V (A^3/atom): 19.92

***

## VW3Se (GGA-PBE)

Data for a relaxed VW3Se crystal.

a b c (Å): 4.5919 4.5919 4.5919
angles (deg): 90.00 90.00 90.00
With the nearest neighbours (Å) after each atom.
Space group Pm-3m (No. 221)
Inequivalent atoms, fractional coordinates:
1 V 0.0000 0.0000 0.0000 (multiplicity 1)  6 W 2.30
2 W 0.0000 0.0000 0.5000 (multiplicity 3)  2 V 2.30
3 Se 0.5000 0.5000 0.5000 (multiplicity 1)  12 W 3.25

Calculated values
Spin magnetization (μB/atom): 0.000
Raw formation energy (eV per atom): 1.82
Crystal system: cubic
E_tot (eV/cell): -42.34
Distance to the lowest polymorph of the same formula (eV per formula unit): 0.830
V (A^3/atom): 19.36

***

## V2WSe (GGA-PBE)

Data for a relaxed V2WSe crystal.

a b c (Å): 6.7637 6.7637 5.5701
angles (deg): 90.00 90.00 90.00
With the nearest neighbours (Å) after each atom.
Space group I-42d (No. 122)
Inequivalent atoms, fractional coordinates:
1 V 0.2278 0.2500 0.1250 (multiplicity 8)  2 Se 2.39, 2 W 2.59
2 W 0.0000 0.0000 0.5000 (multiplicity 4)  4 V 2.59, 2 Se 2.79
3 Se 0.0000 0.0000 0.0000 (multiplicity 4)  4 V 2.39

Calculated values
Spin magnetization (μB/atom): 0.000
Raw formation energy (eV per atom): 0.58
Crystal system: tetragonal
E_tot (eV/cell): -129.39
V (A^3/atom): 15.93

***

## VWSe3 (GGA-PBE)

Data for a relaxed VWSe3 crystal.

a b c (Å): 3.4048 23.8078 5.9765
angles (deg): 90.00 90.00 90.00
With the nearest neighbours (Å) after each atom.
Space group Ama2 (No. 40)
Inequivalent atoms, fractional coordinates:
1 V 0.2500 0.1356 0.0000 (multiplicity 4)  4 Se 2.37-2.42
2 W 0.2500 0.3251 0.1858 (multiplicity 4)  6 Se 2.54-2.78, 2 V 2.70
3 Se 0.2500 0.1340 0.3959 (multiplicity 4)  1 V 2.37, 2 W 2.62
4 Se 0.2500 0.2336 0.8970 (multiplicity 4)  1 V 2.41, 2 W 2.54
5 Se 0.2500 0.4257 0.3462 (multiplicity 4)  2 V 2.42, 1 W 2.58

Calculated values
Spin magnetization (μB/atom): 0.000
Raw formation energy (eV per atom): -0.39
Crystal system: orthorhombic
E_tot (eV/cell): -137.94
Distance to the lowest polymorph of the same formula (eV per formula unit): 0.000
V (A^3/atom): 24.22

***

## V3WSe (GGA-PBE)

Data for a relaxed V3WSe crystal.

a b c (Å): 4.3980 4.3980 4.3980
angles (deg): 90.00 90.00 90.00
With the nearest neighbours (Å) after each atom.
Space group Pm-3m (No. 221)
Inequivalent atoms, fractional coordinates:
1 V 0.0000 0.0000 0.5000 (multiplicity 3)  2 Se 2.20
2 W 0.5000 0.5000 0.5000 (multiplicity 1)  12 V 3.11
3 Se 0.0000 0.0000 0.0000 (multiplicity 1)  6 V 2.20

Calculated values
Spin magnetization (μB/atom): 0.224
Raw formation energy (eV per atom): 0.91
Crystal system: cubic
E_tot (eV/cell): -39.22
Distance to the lowest polymorph of the same formula (eV per formula unit): 0.000
V (A^3/atom): 17.01

***

## VWSe4 (GGA-PBE)

Data for a relaxed VWSe4 crystal.

a b c (Å): 5.7724 3.3295 7.2834
angles (deg): 90.00 104.90 90.00
With the nearest neighbours (Å) after each atom.
Space group P2/m (No. 10)
Inequivalent atoms, fractional coordinates:
1 V 0.0000 0.0000 0.0000 (multiplicity 1)  6 Se 2.50
2 W 0.5000 0.5000 0.0000 (multiplicity 1)  6 Se 2.54-2.56
3 Se 0.2357 0.5000 0.2308 (multiplicity 2)  2 V 2.50, 1 W 2.54
4 Se 0.2490 0.0000 0.7648 (multiplicity 2)  1 V 2.50, 2 W 2.56

Calculated values
Spin magnetization (μB/atom): 0.000
Raw formation energy (eV per atom): -0.51
Crystal system: monoclinic
E_tot (eV/cell): -39.10
V (A^3/atom): 22.55

***

## VW3Se (GGA-PBE)

Data for a relaxed VW3Se crystal.

a b c (Å): 4.5799 4.5799 4.5799
angles (deg): 90.00 90.00 90.00
With the nearest neighbours (Å) after each atom.
Space group Pm-3m (No. 221)
Inequivalent atoms, fractional coordinates:
1 V 0.0000 0.0000 0.0000 (multiplicity 1)  12 W 3.24
2 W 0.0000 0.5000 0.5000 (multiplicity 3)  2 Se 2.29
3 Se 0.5000 0.5000 0.5000 (multiplicity 1)  6 W 2.29

Calculated values
Spin magnetization (μB/atom): 0.434
Raw formation energy (eV per atom): 1.66
Crystal system: cubic
E_tot (eV/cell): -43.17
Distance to the lowest polymorph of the same formula (eV per formula unit): 0.000
V (A^3/atom): 19.21

***

## V2WSe4 (GGA-PBE)

Data for a relaxed V2WSe4 crystal.

a b c (Å): 13.5540 3.2887 6.2377
angles (deg): 90.00 115.35 90.00
With the nearest neighbours (Å) after each atom.
Space group C2/m (No. 12)
Inequivalent atoms, fractional coordinates:
1 V 0.2455 0.0000 0.1714 (multiplicity 4)  5 Se 2.45-2.64
2 W 0.0000 0.5000 0.5000 (multiplicity 2)  6 Se 2.54-2.59
3 Se 0.1048 0.5000 0.9489 (multiplicity 4)  3 V 2.45, 1 W 2.54
4 Se 0.1429 0.0000 0.4766 (multiplicity 4)  2 W 2.59, 3 V 2.64-2.80

Calculated values
Spin magnetization (μB/atom): 0.000
Raw formation energy (eV per atom): -0.48
Crystal system: monoclinic
E_tot (eV/cell): -97.04
V (A^3/atom): 17.95

***

## YV2Se (GGA-PBE)

Data for a relaxed YV2Se crystal.

a b c (Å): 6.5845 6.5845 6.5845
angles (deg): 90.00 90.00 90.00
With the nearest neighbours (Å) after each atom.
Space group Fm-3m (No. 225)
Inequivalent atoms, fractional coordinates:
1 Y 0.0000 0.0000 0.0000 (multiplicity 4)  8 V 2.85
2 V 0.2500 0.2500 0.2500 (multiplicity 8)  4 Se 2.85, 4 Y 2.85
3 Se 0.0000 0.0000 0.5000 (multiplicity 4)  8 V 2.85

Calculated values
Spin magnetization (μB/atom): 1.080
Raw formation energy (eV per atom): 0.40
Crystal system: cubic
E_tot (eV/cell): -106.33
Distance to the lowest polymorph of the same formula (eV per formula unit): 1.406
V (A^3/atom): 17.84

***

## YVSe2 (GGA-PBE)

Data for a relaxed YVSe2 crystal.

a b c (Å): 4.0979 4.0979 24.6256
angles (deg): 90.00 90.00 120.00
With the nearest neighbours (Å) after each atom.
Space group R-3m (No. 166, hexagonal axes)
Inequivalent atoms, fractional coordinates:
1 Y 0.0000 0.0000 0.0000 (multiplicity 3)  6 Se 2.86
2 V 0.0000 0.0000 0.5000 (multiplicity 3)  2 Se 2.51
3 Se 0.0000 0.0000 0.3982 (multiplicity 6)  1 V 2.51

Calculated values
Spin magnetization (μB/atom): 0.993
Raw formation energy (eV per atom): -0.72
Crystal system: trigonal
E_tot (eV/cell): -76.29
Distance to the lowest polymorph of the same formula (eV per formula unit): 0.393
V (A^3/atom): 29.84

***

## YV2Se (GGA-PBE)

Data for a relaxed YV2Se crystal.

a b c (Å): 4.1479 4.1479 18.5837
angles (deg): 90.00 90.00 90.00
With the nearest neighbours (Å) after each atom.
Space group I-42d (No. 122)
Inequivalent atoms, fractional coordinates:
1 Y 0.0000 0.0000 0.0000 (multiplicity 4)  4 Se 2.93, 4 V 3.05
2 V 0.0927 0.2500 0.6250 (multiplicity 8)  2 V 2.21
3 Se 0.0000 0.0000 0.5000 (multiplicity 4)  4 V 2.57

Calculated values
Spin magnetization (μB/atom): 0.185
Raw formation energy (eV per atom): 0.05
Crystal system: tetragonal
E_tot (eV/cell): -111.96
Distance to the lowest polymorph of the same formula (eV per formula unit): 0.000
V (A^3/atom): 19.98